Record 1
Compound: HfAgHg2
Source: OQMD via LeMat-Bulk
Functional: PBE
Structure: optimized geometry Values from VASP.

Cell and atoms, written as Quantum ESPRESSO input:
```
&SYSTEM
  ibrav = 0, nat = 16, ntyp = 3
/
ATOMIC_SPECIES
Hf 178.49 Hf.upf
Ag 107.87 Ag.upf
Hg 200.59 Hg.upf
ATOMIC_POSITIONS crystal
Hf 0.000 0.000 0.000
Hf 0.000 0.500 0.500
Hf 0.500 0.000 0.500
Hf 0.500 0.500 0.000
Ag 0.250 0.250 0.750
Ag 0.250 0.750 0.250
Ag 0.750 0.250 0.250
Ag 0.750 0.750 0.750
Hg 0.000 0.000 0.500
Hg 0.000 0.500 0.000
Hg 0.250 0.250 0.250
Hg 0.250 0.750 0.750
Hg 0.500 0.000 0.000
Hg 0.500 0.500 0.500
Hg 0.750 0.250 0.750
Hg 0.750 0.750 0.250
CELL_PARAMETERS angstrom
6.866 0.000 0.000
0.000 6.866 0.000
0.000 0.000 6.866
```

Computed properties:
Raw total energy = -3.2218 eV per atom
Space group = F-43m (216)



Record 2
Compound: La2ErP3
Source: OQMD via LeMat-Bulk
Functional: PBE
Structure: optimized geometry Values from VASP.

Cell and atoms, written as Quantum ESPRESSO input:
```
&SYSTEM
  ibrav = 0, nat = 6, ntyp = 3
/
ATOMIC_SPECIES
La 138.91 La.upf
Er 167.26 Er.upf
P 30.97 P.upf
ATOMIC_POSITIONS crystal
La 0.333 0.667 0.325
La 0.667 0.333 0.675
Er 0.000 0.000 0.000
P 0.000 0.000 0.500
P 0.333 0.667 0.848
P 0.667 0.333 0.152
CELL_PARAMETERS angstrom
4.171 0.000 0.000
-2.086 3.613 0.000
0.000 0.000 10.213
```

Computed properties:
Raw total energy = -6.6774 eV per atom
Space group = P-3m1 (164)



Record 3
Compound: AsPd2Au
Source: OQMD via LeMat-Bulk
Functional: PBE
Structure: optimized geometry Values from VASP.

Cell and atoms, written as Quantum ESPRESSO input:
```
&SYSTEM
  ibrav = 0, nat = 16, ntyp = 3
/
ATOMIC_SPECIES
As 74.92 As.upf
Pd 106.42 Pd.upf
Au 196.97 Au.upf
ATOMIC_POSITIONS crystal
As 0.000 0.000 0.000
As 0.000 0.500 0.500
As 0.500 0.000 0.500
As 0.500 0.500 0.000
Pd 0.000 0.000 0.500
Pd 0.000 0.500 0.000
Pd 0.250 0.250 0.750
Pd 0.250 0.750 0.250
Pd 0.500 0.000 0.000
Pd 0.500 0.500 0.500
Pd 0.750 0.250 0.250
Pd 0.750 0.750 0.750
Au 0.250 0.250 0.250
Au 0.250 0.750 0.750
Au 0.750 0.250 0.750
Au 0.750 0.750 0.250
CELL_PARAMETERS angstrom
6.408 0.000 0.000
0.000 6.408 0.000
0.000 0.000 6.408
```

Computed properties:
Raw total energy = -4.6471 eV per atom
Space group = F-43m (216)



Record 4
Compound: ErTmAlSi2
Source: OQMD via LeMat-Bulk
Functional: PBE
Structure: optimized geometry Values from VASP.

Cell and atoms, written as Quantum ESPRESSO input:
```
&SYSTEM
  ibrav = 0, nat = 10, ntyp = 4
/
ATOMIC_SPECIES
Er 167.26 Er.upf
Tm 168.93 Tm.upf
Al 26.98 Al.upf
Si 28.09 Si.upf
ATOMIC_POSITIONS crystal
Er 0.000 0.000 0.000
Er 0.500 0.500 0.500
Tm 0.000 0.000 0.578
Tm 0.500 0.500 0.078
Al 0.000 0.500 0.789
Al 0.500 0.000 0.289
Si 0.000 0.289 0.289
Si 0.000 0.711 0.289
Si 0.500 0.211 0.789
Si 0.500 0.789 0.789
CELL_PARAMETERS angstrom
4.045 0.000 0.000
0.000 5.689 0.000
0.000 0.000 8.583
```

Computed properties:
Raw total energy = -5.4372 eV per atom
Space group = Imm2 (44)



Record 5
Compound: RbHo2AgO4
Source: OQMD via LeMat-Bulk
Functional: PBE
Structure: optimized geometry Values from VASP.

Cell and atoms, written as Quantum ESPRESSO input:
```
&SYSTEM
  ibrav = 0, nat = 8, ntyp = 4
/
ATOMIC_SPECIES
Rb 85.47 Rb.upf
Ho 164.93 Ho.upf
Ag 107.87 Ag.upf
O 16.00 O.upf
ATOMIC_POSITIONS crystal
Rb 0.000 0.000 0.000
Ho 0.333 0.667 0.270
Ho 0.333 0.667 0.730
Ag 0.667 0.333 0.500
O 0.000 0.000 0.187
O 0.000 0.000 0.813
O 0.667 0.333 0.347
O 0.667 0.333 0.653
CELL_PARAMETERS angstrom
3.476 0.000 0.000
-1.738 3.011 0.000
0.000 0.000 13.458
```

Computed properties:
Raw total energy = -6.4834 eV per atom
Space group = P-6m2 (187)



Record 6
Compound: Sm3PuSe4
Source: OQMD via LeMat-Bulk
Functional: PBE
Structure: optimized geometry Values from VASP.

Cell and atoms, written as Quantum ESPRESSO input:
```
&SYSTEM
  ibrav = 0, nat = 16, ntyp = 3
/
ATOMIC_SPECIES
Sm 150.36 Sm.upf
Pu 244.00 Pu.upf
Se 78.96 Se.upf
ATOMIC_POSITIONS crystal
Sm 0.000 0.000 0.000
Sm 0.250 0.250 0.500
Sm 0.250 0.750 0.500
Sm 0.500 0.500 0.000
Sm 0.750 0.250 0.500
Sm 0.750 0.750 0.500
Pu 0.000 0.500 0.000
Pu 0.500 0.000 0.000
Se 0.000 0.251 0.000
Se 0.000 0.749 0.000
Se 0.248 0.500 0.500
Se 0.252 0.000 0.500
Se 0.500 0.249 0.000
Se 0.500 0.751 0.000
Se 0.748 0.000 0.500
Se 0.752 0.500 0.500
CELL_PARAMETERS angstrom
8.358 0.000 0.000
0.000 11.766 0.000
0.000 0.000 4.144
```

Computed properties:
Raw total energy = -7.0675 eV per atom
Space group = Cmmm (65)



Record 7
Compound: ZrCo2
Source: OQMD via LeMat-Bulk
Functional: PBE
Structure: optimized geometry Values from VASP.

Cell and atoms, written as Quantum ESPRESSO input:
```
&SYSTEM
  ibrav = 0, nat = 6, ntyp = 2
/
ATOMIC_SPECIES
Zr 91.22 Zr.upf
Co 58.93 Co.upf
ATOMIC_POSITIONS crystal
Zr 0.000 0.000 0.000
Zr 0.500 0.500 0.500
Co 0.168 0.168 0.500
Co 0.332 0.668 0.000
Co 0.668 0.332 0.000
Co 0.832 0.832 0.500
CELL_PARAMETERS angstrom
4.815 0.000 0.000
0.000 4.815 0.000
0.000 0.000 4.473
```

Computed properties:
Raw total energy = -6.4750 eV per atom
Space group = P4_2/mnm (136)



Record 8
Compound: YTm2Al7Ag2
Source: OQMD via LeMat-Bulk
Functional: PBE
Structure: optimized geometry Values from VASP.

Cell and atoms, written as Quantum ESPRESSO input:
```
&SYSTEM
  ibrav = 0, nat = 12, ntyp = 4
/
ATOMIC_SPECIES
Y 88.91 Y.upf
Tm 168.93 Tm.upf
Al 26.98 Al.upf
Ag 107.87 Ag.upf
ATOMIC_POSITIONS crystal
Y 0.000 0.000 0.000
Tm 0.143 0.143 0.143
Tm 0.857 0.857 0.857
Al 0.076 0.588 0.588
Al 0.412 0.412 0.924
Al 0.412 0.924 0.412
Al 0.500 0.500 0.500
Al 0.588 0.076 0.588
Al 0.588 0.588 0.076
Al 0.924 0.412 0.412
Ag 0.336 0.336 0.336
Ag 0.664 0.664 0.664
CELL_PARAMETERS angstrom
2.759 1.593 8.743
-2.759 1.593 8.743
0.000 -3.186 8.743
```

Computed properties:
Raw total energy = -4.3872 eV per atom
Space group = R-3m (166)



Record 9
Compound: Zr3NiAs4Pd3
Source: OQMD via LeMat-Bulk
Functional: PBE
Structure: optimized geometry Values from VASP.

Cell and atoms, written as Quantum ESPRESSO input:
```
&SYSTEM
  ibrav = 0, nat = 11, ntyp = 4
/
ATOMIC_SPECIES
Zr 91.22 Zr.upf
Ni 58.69 Ni.upf
As 74.92 As.upf
Pd 106.42 Pd.upf
ATOMIC_POSITIONS crystal
Zr 0.000 0.000 0.000
Zr 0.073 0.500 0.624
Zr 0.569 0.500 0.493
Ni 0.902 0.000 0.369
As 0.287 0.000 0.429
As 0.290 0.500 0.941
As 0.773 0.500 0.199
As 0.788 0.000 0.673
Pd 0.163 0.500 0.251
Pd 0.388 0.000 0.756
Pd 0.685 0.500 0.879
CELL_PARAMETERS angstrom
6.627 0.000 0.000
0.000 3.929 0.000
-0.014 0.000 7.671
```

Computed properties:
Raw total energy = -6.7789 eV per atom
Space group = Pm (6)



Record 10
Compound: Lu2SnOs
Source: OQMD via LeMat-Bulk
Functional: PBE
Structure: optimized geometry Values from VASP.

Cell and atoms, written as Quantum ESPRESSO input:
```
&SYSTEM
  ibrav = 0, nat = 16, ntyp = 3
/
ATOMIC_SPECIES
Lu 174.97 Lu.upf
Sn 118.71 Sn.upf
Os 190.23 Os.upf
ATOMIC_POSITIONS crystal
Lu 0.000 0.000 0.000
Lu 0.000 0.500 0.500
Lu 0.250 0.250 0.250
Lu 0.250 0.750 0.750
Lu 0.500 0.000 0.500
Lu 0.500 0.500 0.000
Lu 0.750 0.250 0.750
Lu 0.750 0.750 0.250
Sn 0.000 0.000 0.500
Sn 0.000 0.500 0.000
Sn 0.500 0.000 0.000
Sn 0.500 0.500 0.500
Os 0.250 0.250 0.750
Os 0.250 0.750 0.250
Os 0.750 0.250 0.250
Os 0.750 0.750 0.750
CELL_PARAMETERS angstrom
6.867 0.000 0.000
0.000 6.867 0.000
0.000 0.000 6.867
```

Computed properties:
Raw total energy = -6.2798 eV per atom
Space group = F-43m (216)



Record 11
Compound: LuTaNiSn
Source: OQMD via LeMat-Bulk
Functional: PBE
Structure: optimized geometry Values from VASP.

Cell and atoms, written as Quantum ESPRESSO input:
```
&SYSTEM
  ibrav = 0, nat = 16, ntyp = 4
/
ATOMIC_SPECIES
Lu 174.97 Lu.upf
Ta 180.95 Ta.upf
Ni 58.69 Ni.upf
Sn 118.71 Sn.upf
ATOMIC_POSITIONS crystal
Lu 0.000 0.000 0.000
Lu 0.000 0.500 0.500
Lu 0.500 0.000 0.500
Lu 0.500 0.500 0.000
Ta 0.250 0.250 0.250
Ta 0.250 0.750 0.750
Ta 0.750 0.250 0.750
Ta 0.750 0.750 0.250
Ni 0.250 0.250 0.750
Ni 0.250 0.750 0.250
Ni 0.750 0.250 0.250
Ni 0.750 0.750 0.750
Sn 0.000 0.000 0.500
Sn 0.000 0.500 0.000
Sn 0.500 0.000 0.000
Sn 0.500 0.500 0.500
CELL_PARAMETERS angstrom
6.753 0.000 0.000
0.000 6.753 0.000
0.000 0.000 6.753
```

Computed properties:
Raw total energy = -6.2632 eV per atom
Space group = F-43m (216)



Record 12
Compound: Ho5Er2Ni2Te2
Source: OQMD via LeMat-Bulk
Functional: PBE
Structure: optimized geometry Values from VASP.

Cell and atoms, written as Quantum ESPRESSO input:
```
&SYSTEM
  ibrav = 0, nat = 11, ntyp = 4
/
ATOMIC_SPECIES
Ho 164.93 Ho.upf
Er 167.26 Er.upf
Ni 58.69 Ni.upf
Te 127.60 Te.upf
ATOMIC_POSITIONS crystal
Ho 0.000 0.000 0.000
Ho 0.084 0.730 0.354
Ho 0.377 0.730 0.646
Ho 0.450 0.583 0.867
Ho 0.716 0.583 0.133
Er 0.064 0.379 0.685
Er 0.694 0.379 0.315
Ni 0.309 0.072 0.237
Ni 0.835 0.072 0.763
Te 0.337 0.337 0.000
Te 0.735 0.235 0.500
CELL_PARAMETERS angstrom
-1.920 7.781 4.760
1.920 -7.781 4.760
1.920 7.781 -4.760
```

Computed properties:
Raw total energy = -5.1746 eV per atom
Space group = Imm2 (44)